Entry 1:
VASP calculation (PBE) on a geometry-optimized Ba2LuPb structure.

Cell and atoms, written as POSCAR:
```
Ba2LuPb
1.0
8.515 0.000 0.000
0.000 8.515 0.000
0.000 0.000 8.515
Ba Lu Pb
8 4 4
Direct
0.000 0.000 0.000
0.000 0.500 0.500
0.250 0.250 0.250
0.250 0.750 0.750
0.500 0.000 0.500
0.500 0.500 0.000
0.750 0.250 0.750
0.750 0.750 0.250
0.250 0.250 0.750
0.250 0.750 0.250
0.750 0.250 0.250
0.750 0.750 0.750
0.000 0.000 0.500
0.000 0.500 0.000
0.500 0.000 0.000
0.500 0.500 0.500
```

Computed properties:
* SG: No. 216
* magnetic moment: 2.47 μB/f.u.
* calculated total energy: -2.961 eV/atom

=====

Entry 2:
VASP calculation (PBE) on a geometry-optimized BaLuPb structure.

Cell and atoms, written as POSCAR:
```
BaLuPb
1.0
7.663 0.000 0.000
0.000 7.663 0.000
0.000 0.000 7.663
Ba Lu Pb
4 4 4
Direct
0.000 0.000 0.000
0.000 0.500 0.500
0.500 0.000 0.500
0.500 0.500 0.000
0.250 0.250 0.250
0.250 0.750 0.750
0.750 0.250 0.750
0.750 0.750 0.250
0.000 0.000 0.500
0.000 0.500 0.000
0.500 0.000 0.000
0.500 0.500 0.500
```

Computed properties:
* SG: No. 216
* magnetic moment: 0.01 μB/f.u.
* calculated total energy: -3.243 eV/atom

=====

Entry 3:
VASP calculation (PBE) on a geometry-optimized BaLuPb2 structure.

Cell and atoms, written as POSCAR:
```
BaLuPb2
1.0
8.070 0.000 0.000
0.000 8.070 0.000
0.000 0.000 8.070
Ba Lu Pb
4 4 8
Direct
0.000 0.000 0.000
0.000 0.500 0.500
0.500 0.000 0.500
0.500 0.500 0.000
0.250 0.250 0.250
0.250 0.750 0.750
0.750 0.250 0.750
0.750 0.750 0.250
0.000 0.000 0.500
0.000 0.500 0.000
0.250 0.250 0.750
0.250 0.750 0.250
0.500 0.000 0.000
0.500 0.500 0.500
0.750 0.250 0.250
0.750 0.750 0.750
```

Computed properties:
* SG: No. 216
* magnetic moment: 0.02 μB/f.u.
* calculated total energy: -3.441 eV/atom

=====

Entry 4:
VASP calculation (PBE) on a geometry-optimized BaPrLu structure.

Cell and atoms, written as POSCAR:
```
BaPrLu
1.0
8.221 0.000 0.000
0.000 8.221 0.000
0.000 0.000 8.221
Ba Pr Lu
4 4 4
Direct
0.000 0.000 0.000
0.000 0.500 0.500
0.500 0.000 0.500
0.500 0.500 0.000
0.250 0.250 0.250
0.250 0.750 0.750
0.750 0.250 0.750
0.750 0.750 0.250
0.000 0.000 0.500
0.000 0.500 0.000
0.500 0.000 0.000
0.500 0.500 0.500
```

Computed properties:
* SG: No. 216
* magnetic moment: 0.08 μB/f.u.
* calculated total energy: -2.922 eV/atom

=====

Entry 5:
VASP calculation (PBE) on a geometry-optimized BaLuPt structure.

Cell and atoms, written as POSCAR:
```
BaLuPt
1.0
7.231 0.000 0.000
0.000 7.231 0.000
0.000 0.000 7.231
Ba Lu Pt
4 4 4
Direct
0.000 0.000 0.000
0.000 0.500 0.500
0.500 0.000 0.500
0.500 0.500 0.000
0.000 0.000 0.500
0.000 0.500 0.000
0.500 0.000 0.000
0.500 0.500 0.500
0.250 0.250 0.250
0.250 0.750 0.750
0.750 0.250 0.750
0.750 0.750 0.250
```

Computed properties:
* SG: No. 216
* excess energy over the best structure of this formula in the dataset: 0.00 eV per formula unit
* magnetic moment: 0.00 μB/f.u.
* calculated total energy: -4.616 eV/atom

=====

Entry 6:
VASP calculation (PBE) on a geometry-optimized BaLuPt structure.

Cell and atoms, written as POSCAR:
```
BaLuPt
1.0
7.557 0.000 0.000
0.000 7.557 0.000
0.000 0.000 7.557
Ba Lu Pt
4 4 4
Direct
0.000 0.000 0.000
0.000 0.500 0.500
0.500 0.000 0.500
0.500 0.500 0.000
0.250 0.250 0.750
0.250 0.750 0.250
0.750 0.250 0.250
0.750 0.750 0.750
0.250 0.250 0.250
0.250 0.750 0.750
0.750 0.250 0.750
0.750 0.750 0.250
```

Computed properties:
* SG: No. 216
* excess energy over the best structure of this formula in the dataset: 2.92 eV per formula unit
* magnetic moment: 0.02 μB/f.u.
* calculated total energy: -3.643 eV/atom

=====

Entry 7:
VASP calculation (PBE) on a geometry-optimized Ba2LuPt structure.

Cell and atoms, written as POSCAR:
```
Ba2LuPt
1.0
7.845 0.000 0.000
0.000 7.845 0.000
0.000 0.000 7.845
Ba Lu Pt
8 4 4
Direct
0.000 0.000 0.000
0.000 0.500 0.500
0.250 0.250 0.250
0.250 0.750 0.750
0.500 0.000 0.500
0.500 0.500 0.000
0.750 0.250 0.750
0.750 0.750 0.250
0.250 0.250 0.750
0.250 0.750 0.250
0.750 0.250 0.250
0.750 0.750 0.750
0.000 0.000 0.500
0.000 0.500 0.000
0.500 0.000 0.000
0.500 0.500 0.500
```

Computed properties:
* SG: No. 216
* magnetic moment: 0.00 μB/f.u.
* calculated total energy: -3.565 eV/atom

=====

Entry 8:
VASP calculation (PBE) on a geometry-optimized BaLuPu structure.

Cell and atoms, written as POSCAR:
```
BaLuPu
1.0
7.976 0.000 0.000
0.000 7.976 0.000
0.000 0.000 7.976
Ba Lu Pu
4 4 4
Direct
0.000 0.000 0.000
0.000 0.500 0.500
0.500 0.000 0.500
0.500 0.500 0.000
0.000 0.000 0.500
0.000 0.500 0.000
0.500 0.000 0.000
0.500 0.500 0.500
0.250 0.250 0.750
0.250 0.750 0.250
0.750 0.250 0.250
0.750 0.750 0.750
```

Computed properties:
* SG: No. 216
* magnetic moment: 7.29 μB/f.u.
* calculated total energy: -5.945 eV/atom